# GGA+U NaMgMn2F8, relaxed
data_NaMgMn2F8
_chemical_formula_sum 'Na1 Mg1 Mn2 F8'
_symmetry_space_group_name_H-M 'P 1'
_symmetry_Int_Tables_number 1
_cell_length_a 5.956
_cell_length_b 5.956
_cell_length_c 6.198
_cell_angle_alpha 90.00
_cell_angle_beta 90.00
_cell_angle_gamma 120.00
loop_
_symmetry_equiv_pos_as_xyz
'x,y,z'
loop_
_atom_site_label
_atom_site_type_symbol
_atom_site_fract_x
_atom_site_fract_y
_atom_site_fract_z
F1 F 0.850 0.150 0.298
F2 F 0.300 0.150 0.298
F3 F 0.667 0.333 0.918
F4 F 0.700 0.850 0.702
F5 F 0.333 0.667 0.082
F6 F 0.150 0.300 0.702
F7 F 0.150 0.850 0.702
F8 F 0.850 0.700 0.298
Na1 Na 0.000 0.000 0.000
Mn1 Mn 0.667 0.333 0.217
Mn2 Mn 0.333 0.667 0.783
Mg1 Mg 0.000 0.000 0.500
# * DOS(E_F): 6.6 states/eV per cell
# * E_tot: -64.8 eV/cell